[1]
DFT (PBE-GGA) results for a geometry-optimized Mn3CuPt6 structure.

energy relative to the elements	-288	meV per atom
spin magnetization	13.05	μB/f.u.
N(E_F)	0.93	states/eV per atom

Cell: 7.328 4.535 9.652 Å, 90.00 111.04 90.00°
Fractional positions:
Mn 0.089 0.250 0.227
Mn 0.295 0.250 0.021
Mn 0.324 0.750 0.378
Mn 0.676 0.250 0.622
Mn 0.705 0.750 0.979
Mn 0.911 0.750 0.773
Cu 0.107 0.750 0.570
Cu 0.893 0.250 0.430
Pt 0.074 0.250 0.718
Pt 0.109 0.750 0.074
Pt 0.278 0.250 0.520
Pt 0.296 0.750 0.863
Pt 0.489 0.250 0.829
Pt 0.491 0.250 0.326
Pt 0.509 0.750 0.674
Pt 0.511 0.750 0.171
Pt 0.704 0.250 0.137
Pt 0.722 0.750 0.480
Pt 0.891 0.250 0.926
Pt 0.926 0.750 0.282

=====

[2]
DFT (PBE-GGA) results for a geometry-optimized Ac2Ga3HgPt4 structure.

energy relative to the elements	-865	meV per atom
spin magnetization	0.00	μB/f.u.
N(E_F)	0.57	states/eV per atom

Cell: 4.422 4.422 11.051 Å, 90.00 90.00 90.00°
Fractional positions:
Ac 0.000 0.500 0.245
Ac 0.500 0.000 0.755
Ga 0.000 0.500 0.884
Ga 0.500 0.000 0.116
Ga 0.500 0.500 0.500
Hg 0.000 0.000 0.500
Pt 0.000 0.000 0.000
Pt 0.000 0.500 0.656
Pt 0.500 0.000 0.344
Pt 0.500 0.500 0.000